Material: HfAsOF2
Method: DFT, PBE
State: optimized geometry

Unit cell a=4.5090 b=4.5090 c=3.8543 alpha=90.00 beta=90.00 gamma=90.00
Closest atoms and distances in Å follow each position.
Positions (direct):
1 As 0.0000 0.0000 0.0000  2 O 1.93
2 Hf 0.5000 0.5000 0.5000  8 F 2.97, 4 O 3.19
3 O 0.0000 0.0000 0.5000  2 As 1.93
4 F 0.0000 0.5000 0.0000  2 As 2.25
5 F 0.5000 0.0000 0.0000  2 As 2.25

Output
spin magnetization: 0.260 μB per atom
E_form (uncorrected): -0.5630 eV/atom
space group: P4/mmm